! NiPdRu (PBE-GGA, optimized geometry); values from VASP
! - DFT total energy: -6.600 eV/atom
! - DOS(E_F): 5.56 states/eV/cell
! - Calculated formation energy: 14 kJ per mole of atoms
! - Size of the total moment: 0.1 μB/f.u.
&SYSTEM
  ibrav = 0, nat = 3, ntyp = 3
/
ATOMIC_SPECIES
Ni 58.69 Ni.upf
Ru 101.07 Ru.upf
Pd 106.42 Pd.upf
ATOMIC_POSITIONS crystal
Ni 0.327 0.327 0.653
Ru 0.677 0.677 0.354
Pd 0.996 0.996 0.993
CELL_PARAMETERS angstrom
2.699 0.000 0.000
0.000 2.699 0.000
-1.349 -1.349 5.546